Density functional theory data (GGA-PBE) for a geometry-optimized Sr8TlGa2 structure.

Cell and atoms, written as extended XYZ:
```
11
Lattice="5.0411 -7.5131 0.0000 5.0411 7.5131 0.0000 -1.7058 0.0000 6.0433" Properties=species:S:1:pos:R:3 pbc="T T T"
Sr 0.0000 0.0000 0.0000
Sr 0.7090 1.9713 3.7025
Sr 3.4042 3.5465 1.1847
Sr 0.7090 -1.9713 3.7025
Sr 4.3728 1.9696 4.7292
Sr 3.4042 -3.5465 1.1847
Sr 4.3728 -1.9696 4.7292
Sr 6.8144 0.0000 2.3713
Tl 3.4694 0.0000 1.0315
Ga 2.5383 4.7587 4.2045
Ga 2.5383 -4.7587 4.2045
```

The calculation puts the volume at 457.8 Å³ per cell. The calculated formation energy is -0.191 eV/atom. The polymorph energy (0 for the lowest one) is 0.045 eV per atom. The density of states at the Fermi level is 6.9 states/eV/cell. The value obtained for the density is 3.79 g cm⁻³.